Density functional theory data (PBE) for crystalline Dy3TmIn2 at its relaxed geometry.

Structure (POSCAR):
```
Dy3TmIn2
1.0
5.1604 0.0000 0.0000
0.0000 9.7967 0.0000
0.0000 0.0000 6.6908
Dy Tm In
6 2 4
direct
0.0000 0.0354 0.0000
0.0000 0.3206 0.3506
0.0000 0.6794 0.8506
0.0000 0.9646 0.5000
0.5000 0.1832 0.7221
0.5000 0.8168 0.2221
0.5000 0.4634 0.0718
0.5000 0.5366 0.5718
0.0000 0.3581 0.8284
0.0000 0.6419 0.3284
0.5000 0.1422 0.2450
0.5000 0.8578 0.7450
```

Output
Symmetry: Pmc2_1 (26)
ΔE_f in eV per atom: -0.36
DFT total energy in eV for the cell shown: -51.770